Record 1
DFT (PBE) results for a relaxed AlCuSb crystal.

Lattice parameters (Å, degrees): 6.432 6.432 6.432 90.00 90.00 90.00
Positions (direct):
Al: 0.000 0.000 0.000
Al: 0.000 0.500 0.500
Al: 0.500 0.000 0.500
Al: 0.500 0.500 0.000
Cu: 0.000 0.000 0.500
Cu: 0.000 0.500 0.000
Cu: 0.500 0.000 0.000
Cu: 0.500 0.500 0.500
Sb: 0.250 0.250 0.750
Sb: 0.250 0.750 0.250
Sb: 0.750 0.250 0.250
Sb: 0.750 0.750 0.750

Results
Space group: F-43m (216)
Calculated volume in Å³/atom: 22.176
E in eV per atom: -3.58

---

Record 2
DFT (PBE) results for a relaxed TaCuNiHg crystal.

Lattice parameters (Å, degrees): 6.276 6.276 6.276 90.00 90.00 90.00
Positions (direct):
Ta: 0.000 0.000 0.000
Ta: 0.000 0.500 0.500
Ta: 0.500 0.000 0.500
Ta: 0.500 0.500 0.000
Cu: 0.000 0.000 0.500
Cu: 0.000 0.500 0.000
Cu: 0.500 0.000 0.000
Cu: 0.500 0.500 0.500
Ni: 0.250 0.250 0.750
Ni: 0.250 0.750 0.250
Ni: 0.750 0.250 0.250
Ni: 0.750 0.750 0.750
Hg: 0.250 0.250 0.250
Hg: 0.250 0.750 0.750
Hg: 0.750 0.250 0.750
Hg: 0.750 0.750 0.250

Results
Energy relative to the elements in eV per atom: 0.2966
Space group: F-43m (216)
Calculated volume in Å³/atom: 15.453
Excess energy over the best structure of this formula in the dataset in eV/atom: 0.162
Size of the total moment in μB per cell: 0.02

---

Record 3
DFT (PBE) results for a relaxed Sr3Re2O9 crystal.

Lattice parameters (Å, degrees): 7.402 7.402 7.402 43.83 43.83 43.83
Positions (direct):
Sr: 0.000 0.000 0.000
Sr: 0.209 0.209 0.209
Sr: 0.791 0.791 0.791
Re: 0.394 0.394 0.394
Re: 0.606 0.606 0.606
O: 0.000 0.500 0.500
O: 0.226 0.726 0.726
O: 0.274 0.274 0.774
O: 0.274 0.774 0.274
O: 0.500 0.000 0.500
O: 0.500 0.500 0.000
O: 0.726 0.226 0.726
O: 0.726 0.726 0.226
O: 0.774 0.274 0.274

Results
Space group: R-3m (166)
Calculated volume in Å³/atom: 12.617
E in eV per atom: -7.56
Size of the total moment in μB per cell: 0.00

---

Record 4
DFT (PBE) results for a relaxed BeNb3Zn crystal.

Lattice parameters (Å, degrees): 4.404 4.404 4.404 90.00 90.00 90.00
Positions (direct):
Be: 0.000 0.000 0.000
Nb: 0.000 0.000 0.500
Nb: 0.000 0.500 0.000
Nb: 0.500 0.000 0.000
Zn: 0.500 0.500 0.500

Results
Space group: Pm-3m (221)
Calculated volume in Å³/atom: 17.085
E in eV per atom: -6.55
Size of the total moment in μB per cell: 0.03

---

Record 5
DFT (PBE) results for a relaxed YNi3 crystal.

Lattice parameters (Å, degrees): 3.911 3.911 7.631 90.00 90.00 90.00
Positions (direct):
Y: 0.000 0.000 0.000
Y: 0.500 0.500 0.500
Ni: 0.000 0.000 0.500
Ni: 0.000 0.500 0.250
Ni: 0.000 0.500 0.750
Ni: 0.500 0.000 0.250
Ni: 0.500 0.000 0.750
Ni: 0.500 0.500 0.000

Results
Energy relative to the elements in eV per atom: -0.1477
Space group: I4/mmm (139)
Calculated volume in Å³/atom: 14.593
Size of the total moment in μB per cell: 0.96

---

Record 6
DFT (PBE) results for a relaxed LuFeSbPt crystal.

Lattice parameters (Å, degrees): 6.735 6.735 6.735 90.00 90.00 90.00
Positions (direct):
Lu: 0.000 0.000 0.000
Lu: 0.000 0.500 0.500
Lu: 0.500 0.000 0.500
Lu: 0.500 0.500 0.000
Fe: 0.000 0.000 0.500
Fe: 0.000 0.500 0.000
Fe: 0.500 0.000 0.000
Fe: 0.500 0.500 0.500
Sb: 0.250 0.250 0.250
Sb: 0.250 0.750 0.750
Sb: 0.750 0.250 0.750
Sb: 0.750 0.750 0.250
Pt: 0.250 0.250 0.750
Pt: 0.250 0.750 0.250
Pt: 0.750 0.250 0.250
Pt: 0.750 0.750 0.750

Results
Space group: F-43m (216)
Calculated volume in Å³/atom: 19.093
Excess energy over the best structure of this formula in the dataset in eV/atom: 0.106
Size of the total moment in μB per cell: 11.19

---

Record 7
DFT (PBE) results for a relaxed SiNiSn2 crystal.

Lattice parameters (Å, degrees): 6.801 6.801 6.801 90.00 90.00 90.00
Positions (direct):
Si: 0.000 0.000 0.000
Si: 0.000 0.500 0.500
Si: 0.500 0.000 0.500
Si: 0.500 0.500 0.000
Ni: 0.250 0.250 0.250
Ni: 0.250 0.750 0.750
Ni: 0.750 0.250 0.750
Ni: 0.750 0.750 0.250
Sn: 0.000 0.000 0.500
Sn: 0.000 0.500 0.000
Sn: 0.250 0.250 0.750
Sn: 0.250 0.750 0.250
Sn: 0.500 0.000 0.000
Sn: 0.500 0.500 0.500
Sn: 0.750 0.250 0.250
Sn: 0.750 0.750 0.750

Results
Space group: F-43m (216)
Calculated volume in Å³/atom: 19.660
E in eV per atom: -4.29
Size of the total moment in μB per cell: 0.01

---

Record 8
DFT (PBE) results for a relaxed BaTeIrAu crystal.

Lattice parameters (Å, degrees): 7.325 7.325 7.325 90.00 90.00 90.00
Positions (direct):
Ba: 0.000 0.000 0.000
Ba: 0.000 0.500 0.500
Ba: 0.500 0.000 0.500
Ba: 0.500 0.500 0.000
Te: 0.250 0.250 0.250
Te: 0.250 0.750 0.750
Te: 0.750 0.250 0.750
Te: 0.750 0.750 0.250
Ir: 0.000 0.000 0.500
Ir: 0.000 0.500 0.000
Ir: 0.500 0.000 0.000
Ir: 0.500 0.500 0.500
Au: 0.250 0.250 0.750
Au: 0.250 0.750 0.250
Au: 0.750 0.250 0.250
Au: 0.750 0.750 0.750

Results
Space group: F-43m (216)
Calculated volume in Å³/atom: 24.567
Excess energy over the best structure of this formula in the dataset in eV/atom: 0.000
Size of the total moment in μB per cell: 0.01